Density functional theory data (GGA-PBE) for an optimized crystal structure of TmWN.

a b c (Å): 3.0857 3.0859 10.9759
angles (deg): 90.00 90.00 120.00
Sites, in units of the cell vectors:
Tm (0.6110, 0.2221, 0.3639)
Tm (0.6110, 0.2221, 0.6361)
N (0.2777, 0.5554, 0.5000)
N (0.6111, 0.2223, 0.0000)
W (0.2778, 0.5556, 0.8776)
W (0.2778, 0.5556, 0.1224)

## Properties
Symmetry: P-6m2 (187)
Energy relative to the elements, uncorrected, eV/atom: -0.17